# MnAlGaPt (PBE, relaxed)
data_MnAlGaPt
_chemical_formula_sum 'Mn4 Al4 Ga4 Pt4'
_space_group_name_H-M_alt 'F -4 3 m'
_space_group_IT_number 216
_space_group_name_Hall 'F -4 2 3'
_cell_length_a 6.010
_cell_length_b 6.010
_cell_length_c 6.010
_cell_angle_alpha 90.00
_cell_angle_beta 90.00
_cell_angle_gamma 90.00
loop_
_atom_site_label
_atom_site_type_symbol
_atom_site_fract_x
_atom_site_fract_y
_atom_site_fract_z
Mn1 Mn 0.000 0.000 0.000
Al1 Al 0.250 0.250 0.750
Ga1 Ga 0.250 0.250 0.250
Pt1 Pt 0.000 0.000 0.500
# Mass density: 10.6 g cm⁻³
# M_tot: 0.68 μB per formula unit
# Formation enthalpy at 0 K: -0.41 eV/atom